Entry 1:
Mn2RuO5, optimized geometry, DFT GGA+U; SG = C2/m (12)
1.0
5.1880 -1.8891 0.0000
5.1880 1.8891 0.0000
-3.5760 0.0000 5.1912
Mn Ru O
2 1 5
Direct
0.1751 0.1751 0.1055
0.8249 0.8249 0.8945
0.0000 0.0000 0.5000
0.0483 0.0483 0.2441
0.2287 0.2287 0.8226
0.5000 0.5000 0.5000
0.7713 0.7713 0.1774
0.9517 0.9517 0.7559



Entry 2:
Mn2RuSeO, optimized geometry, DFT GGA+U; SG = P4/mmm (123)
1.0
5.1136 0.0000 0.0000
0.0000 5.1136 0.0000
0.0000 0.0000 3.7011
Mn Ru Se O
2 1 1 1
Direct
0.0000 0.5000 0.0000
0.5000 0.0000 0.0000
0.0000 0.0000 0.0000
0.5000 0.5000 0.5000
0.0000 0.0000 0.5000



Entry 3:
MnRuSeO5, optimized geometry, DFT GGA+U; SG = C2/c (15)
1.0
3.6197 -5.3334 0.0000
3.6197 5.3334 0.0000
-2.1320 0.0000 6.0705
Mn Ru Se O
2 2 2 10
Direct
0.0000 0.5000 0.0000
0.5000 0.0000 0.5000
0.0211 0.9789 0.2500
0.9789 0.0211 0.7500
0.4649 0.5351 0.7500
0.5351 0.4649 0.2500
0.1339 0.2056 0.0958
0.1927 0.8073 0.2500
0.2056 0.1339 0.5958
0.3311 0.6054 0.9363
0.3946 0.6689 0.5637
0.6054 0.3311 0.4363
0.6689 0.3946 0.0637
0.7944 0.8661 0.4042
0.8073 0.1927 0.7500
0.8661 0.7944 0.9042



Entry 4:
Sr4MnRuO8, optimized geometry, DFT GGA+U; SG = P4/mmm (123); relative energy among the computed polymorphs = 0.013 eV per atom
1.0
3.8916 0.0000 0.0000
0.0000 3.8916 0.0000
0.0000 0.0000 12.7623
Sr Mn Ru O
4 1 1 8
Direct
0.0000 0.0000 0.1377
0.0000 0.0000 0.8623
0.5000 0.5000 0.3454
0.5000 0.5000 0.6546
0.5000 0.5000 0.0000
0.0000 0.0000 0.5000
0.0000 0.0000 0.3377
0.0000 0.0000 0.6623
0.0000 0.5000 0.0000
0.0000 0.5000 0.5000
0.5000 0.0000 0.0000
0.5000 0.0000 0.5000
0.5000 0.5000 0.1575
0.5000 0.5000 0.8425



Entry 5:
Sr4MnRuO8, optimized geometry, DFT GGA+U; SG = Cmmm (65); relative energy among the computed polymorphs = 0.000 eV per atom
1.0
2.8263 -6.2357 0.0000
2.8263 6.2357 0.0000
0.0000 0.0000 5.6523
Sr Mn Ru O
4 1 1 8
Direct
0.1420 0.8580 0.0000
0.3557 0.6443 0.5000
0.6443 0.3557 0.5000
0.8580 0.1420 0.0000
0.0000 0.0000 0.5000
0.5000 0.5000 0.0000
0.1575 0.8425 0.5000
0.2547 0.2547 0.2454
0.2547 0.2547 0.7546
0.3384 0.6616 0.0000
0.6616 0.3384 0.0000
0.7453 0.7453 0.2454
0.7453 0.7453 0.7546
0.8425 0.1575 0.5000



Entry 6:
Sr2MnRuO6, optimized geometry, DFT GGA+U; SG = I4/m (87)
1.0
-2.7338 2.7338 4.2091
2.7338 -2.7338 4.2091
2.7338 2.7338 -4.2091
Sr Mn Ru O
2 1 1 6
Direct
0.2500 0.7500 0.5000
0.7500 0.2500 0.5000
0.0000 0.0000 0.0000
0.5000 0.5000 0.0000
0.1955 0.3012 0.4967
0.2656 0.2656 0.0000
0.3012 0.8045 0.1057
0.6988 0.1955 0.8943
0.7344 0.7344 0.0000
0.8045 0.6988 0.5033



Entry 7:
MnTeRuO2, optimized geometry, DFT GGA+U; SG = P4/mmm (123)
1.0
3.7922 0.0000 0.0000
0.0000 3.7922 0.0000
0.0000 0.0000 6.3967
Mn Te Ru O
1 1 1 2
Direct
0.0000 0.0000 0.0000
0.5000 0.5000 0.0000
0.0000 0.0000 0.5000
0.0000 0.5000 0.5000
0.5000 0.0000 0.5000



Entry 8:
Mn2TeRuO, optimized geometry, DFT GGA+U; SG = P4/mmm (123)
1.0
4.2840 0.0000 0.0000
0.0000 4.2840 0.0000
0.0000 0.0000 4.4384
Mn Te Ru O
2 1 1 1
Direct
0.0000 0.5000 0.0000
0.5000 0.0000 0.0000
0.0000 0.0000 0.5000
0.5000 0.5000 0.5000
0.5000 0.5000 0.0000



Number 1: final energy -7.371 eV per atom. Number 2: final energy -6.561 eV per atom. Number 3: final energy -6.494 eV per atom. Number 4: final energy -6.710 eV per atom. Number 5: final energy -6.723 eV per atom. Number 6: final energy -6.926 eV per atom. Number 7: final energy -6.323 eV per atom. Number 8: final energy -6.555 eV per atom.